# Mn2SbTe, optimized geometry, DFT GGA-PBE
data_Mn2SbTe
_chemical_formula_sum 'Mn6 Sb3 Te3'
_space_group_name_H-M_alt 'R 3 m'
_space_group_IT_number 160
_space_group_name_Hall 'R 3 -2"'
_cell_length_a 3.2297
_cell_length_b 3.2297
_cell_length_c 29.2375
_cell_angle_alpha 90.00
_cell_angle_beta 90.00
_cell_angle_gamma 120.00
loop_
_atom_site_label
_atom_site_fract_x
_atom_site_fract_y
_atom_site_fract_z
_atom_site_occupancy
Mn1 0.0000 0.0000 0.0000 1
Mn2 0.0000 0.0000 0.2694 1
Sb1 0.0000 0.0000 0.7389 1
Te1 0.0000 0.0000 0.5406 1
# Crystal system   trigonal
# Theoretical density   6.78 Mg/m³
# Energy relative to the elements, uncorrected   325.3 meV per atom

---

# MnSb2Te, optimized geometry, DFT GGA-PBE
data_MnSb2Te
_chemical_formula_sum 'Mn1 Sb2 Te1'
_space_group_name_H-M_alt 'P m m m'
_space_group_IT_number 47
_cell_length_a 3.695
_cell_length_b 5.171
_cell_length_c 5.262
_cell_angle_alpha 90.00
_cell_angle_beta 90.00
_cell_angle_gamma 90.00
loop_
_space_group_symop_operation_xyz
'x,y,z'
'-x,-y,-z'
'-x,-y,z'
'x,y,-z'
'x,-y,-z'
'-x,y,z'
'-x,y,-z'
'x,-y,z'
loop_
_atom_site_label
_atom_site_fract_x
_atom_site_fract_y
_atom_site_fract_z
_atom_site_occupancy
Mn1 0.000 0.000 0.000 1
Sb1 0.000 0.500 0.500 1
Sb2 0.500 0.000 0.500 1
Te1 0.500 0.500 0.000 1
# Crystal system   orthorhombic
# Theoretical density   7.04 Mg/m³
# Energy relative to the elements, uncorrected   359.2 meV per atom

---

# MnSb2Te4, optimized geometry, DFT GGA-PBE
data_MnSb2Te4
_chemical_formula_sum 'Mn4 Sb8 Te16'
_space_group_name_H-M_alt 'P n m a'
_space_group_IT_number 62
_cell_length_a 14.346
_cell_length_b 4.224
_cell_length_c 15.882
_cell_angle_alpha 90.00
_cell_angle_beta 90.00
_cell_angle_gamma 90.00
loop_
_space_group_symop_operation_xyz
'x,y,z'
'-x,-y,-z'
'-x+1/2,-y,z+1/2'
'x+1/2,y,-z+1/2'
'x+1/2,-y+1/2,-z+1/2'
'-x+1/2,y+1/2,z+1/2'
'-x,y+1/2,-z'
'x,-y+1/2,z'
loop_
_atom_site_label
_atom_site_fract_x
_atom_site_fract_y
_atom_site_fract_z
_atom_site_occupancy
Mn1 0.095 0.250 0.032 1
Sb1 0.106 0.750 0.435 1
Sb2 0.162 0.750 0.827 1
Te1 0.001 0.750 0.119 1
Te2 0.025 0.750 0.620 1
Te3 0.210 0.750 0.266 1
Te4 0.230 0.750 0.000 1
# Crystal system   orthorhombic
# Theoretical density   5.58 Mg/m³
# Energy relative to the elements, uncorrected   -76.2 meV per atom

---

# MnSb2Te, optimized geometry, DFT GGA-PBE
data_MnSb2Te
_chemical_formula_sum 'Mn2 Sb4 Te2'
_space_group_name_H-M_alt 'C 1 2/m 1'
_space_group_IT_number 12
_cell_length_a 12.900
_cell_length_b 3.643
_cell_length_c 4.679
_cell_angle_alpha 90.00
_cell_angle_beta 111.20
_cell_angle_gamma 90.00
loop_
_space_group_symop_operation_xyz
'x,y,z'
'-x,-y,-z'
'-x,y,-z'
'x,-y,z'
'x+1/2,y+1/2,z'
'-x+1/2,-y+1/2,-z'
'-x+1/2,y+1/2,-z'
'x+1/2,-y+1/2,z'
loop_
_atom_site_label
_atom_site_fract_x
_atom_site_fract_y
_atom_site_fract_z
_atom_site_occupancy
Mn1 0.000 0.000 0.000 1
Sb1 0.182 0.500 0.183 1
Te1 0.000 0.500 0.500 1
# Crystal system   monoclinic
# Theoretical density   6.90 Mg/m³
# Energy relative to the elements, uncorrected   189.5 meV per atom

---

# MnSb2Te, optimized geometry, DFT GGA-PBE
data_MnSb2Te
_chemical_formula_sum 'Mn2 Sb4 Te2'
_space_group_name_H-M_alt 'A m m 2'
_space_group_IT_number 38
_cell_length_a 4.208
_cell_length_b 6.059
_cell_length_c 8.540
_cell_angle_alpha 90.00
_cell_angle_beta 90.00
_cell_angle_gamma 90.00
loop_
_space_group_symop_operation_xyz
'x,y,z'
'-x,-y,z'
'-x,y,z'
'x,-y,z'
'x,y+1/2,z+1/2'
'-x,-y+1/2,z+1/2'
'-x,y+1/2,z+1/2'
'x,-y+1/2,z+1/2'
loop_
_atom_site_label
_atom_site_fract_x
_atom_site_fract_y
_atom_site_fract_z
_atom_site_occupancy
Mn1 0.000 0.000 0.000 1
Sb1 0.000 0.000 0.488 1
Sb2 0.500 0.000 0.239 1
Te1 0.500 0.000 0.782 1
# Crystal system   orthorhombic
# Theoretical density   6.50 Mg/m³
# Energy relative to the elements, uncorrected   123.9 meV per atom

---

# Mn2SbTe, optimized geometry, DFT GGA-PBE
data_Mn2SbTe
_chemical_formula_sum 'Mn4 Sb2 Te2'
_space_group_name_H-M_alt 'I -4 m 2'
_space_group_IT_number 119
_space_group_name_Hall 'I -4 -2'
_cell_length_a 4.029
_cell_length_b 4.029
_cell_length_c 10.609
_cell_angle_alpha 90.00
_cell_angle_beta 90.00
_cell_angle_gamma 90.00
loop_
_atom_site_label
_atom_site_fract_x
_atom_site_fract_y
_atom_site_fract_z
_atom_site_occupancy
Mn1 0.000 0.000 0.000 1
Mn2 0.000 0.500 0.250 1
Sb1 0.000 0.500 0.750 1
Te1 0.000 0.000 0.500 1
# Crystal system   tetragonal
# Theoretical density   6.93 Mg/m³
# Energy relative to the elements, uncorrected   347.2 meV per atom

---

# MnSb2Te, optimized geometry, DFT GGA-PBE
data_MnSb2Te
_chemical_formula_sum 'Mn2 Sb4 Te2'
_space_group_name_H-M_alt 'C 1 m 1'
_space_group_IT_number 8
_cell_length_a 9.609
_cell_length_b 3.790
_cell_length_c 6.762
_cell_angle_alpha 90.00
_cell_angle_beta 114.79
_cell_angle_gamma 90.00
loop_
_space_group_symop_operation_xyz
'x,y,z'
'x,-y,z'
'x+1/2,y+1/2,z'
'x+1/2,-y+1/2,z'
loop_
_atom_site_label
_atom_site_fract_x
_atom_site_fract_y
_atom_site_fract_z
_atom_site_occupancy
Mn1 0.000 0.000 0.000 1
Sb1 0.079 0.500 0.327 1
Sb2 0.225 0.500 0.028 1
Te1 0.405 0.000 0.687 1
# Crystal system   monoclinic
# Theoretical density   6.33 Mg/m³
# Energy relative to the elements, uncorrected   93.7 meV per atom

---

# Mn2SbTe, optimized geometry, DFT GGA-PBE
data_Mn2SbTe
_chemical_formula_sum 'Mn2 Sb1 Te1'
_space_group_name_H-M_alt 'P 4/m m m'
_space_group_IT_number 123
_space_group_name_Hall '-P 4 2'
_cell_length_a 3.328
_cell_length_b 3.328
_cell_length_c 6.985
_cell_angle_alpha 90.00
_cell_angle_beta 90.00
_cell_angle_gamma 90.00
loop_
_atom_site_label
_atom_site_fract_x
_atom_site_fract_y
_atom_site_fract_z
_atom_site_occupancy
Mn1 0.000 0.000 0.241 1
Sb1 0.500 0.500 0.500 1
Te1 0.500 0.500 0.000 1
# Crystal system   tetragonal
# Theoretical density   7.71 Mg/m³
# Energy relative to the elements, uncorrected   285.2 meV per atom

---

# Mn2SbTe, optimized geometry, DFT GGA-PBE
data_Mn2SbTe
_chemical_formula_sum 'Mn4 Sb2 Te2'
_space_group_name_H-M_alt 'I m m 2'
_space_group_IT_number 44
_cell_length_a 3.345
_cell_length_b 4.135
_cell_length_c 13.319
_cell_angle_alpha 90.00
_cell_angle_beta 90.00
_cell_angle_gamma 90.00
loop_
_space_group_symop_operation_xyz
'x,y,z'
'-x,-y,z'
'-x,y,z'
'x,-y,z'
'x+1/2,y+1/2,z+1/2'
'-x+1/2,-y+1/2,z+1/2'
'-x+1/2,y+1/2,z+1/2'
'x+1/2,-y+1/2,z+1/2'
loop_
_atom_site_label
_atom_site_fract_x
_atom_site_fract_y
_atom_site_fract_z
_atom_site_occupancy
Mn1 0.000 0.000 0.000 1
Mn2 0.000 0.500 0.112 1
Sb1 0.000 0.500 0.675 1
Te1 0.000 0.000 0.441 1
# Crystal system   orthorhombic
# Theoretical density   6.48 Mg/m³
# Energy relative to the elements, uncorrected   159.9 meV per atom

---

# Mn2SbTe, optimized geometry, DFT GGA-PBE
data_Mn2SbTe
_chemical_formula_sum 'Mn2 Sb1 Te1'
_space_group_name_H-M_alt 'P 1 2/m 1'
_space_group_IT_number 10
_cell_length_a 4.004
_cell_length_b 3.978
_cell_length_c 5.663
_cell_angle_alpha 90.00
_cell_angle_beta 90.20
_cell_angle_gamma 90.00
loop_
_space_group_symop_operation_xyz
'x,y,z'
'-x,-y,-z'
'-x,y,-z'
'x,-y,z'
loop_
_atom_site_label
_atom_site_fract_x
_atom_site_fract_y
_atom_site_fract_z
_atom_site_occupancy
Mn1 0.000 0.000 0.000 1
Mn2 0.500 0.500 0.500 1
Sb1 0.000 0.000 0.500 1
Te1 0.500 0.500 0.000 1
# Crystal system   monoclinic
# Theoretical density   6.61 Mg/m³
# Energy relative to the elements, uncorrected   65.8 meV per atom

---

# MnSb2Te, optimized geometry, DFT GGA-PBE
data_MnSb2Te
_chemical_formula_sum 'Mn4 Sb8 Te4'
_space_group_name_H-M_alt 'F m m m'
_space_group_IT_number 69
_space_group_name_Hall '-F 2 2'
_cell_length_a 6.018
_cell_length_b 8.530
_cell_length_c 8.553
_cell_angle_alpha 90.00
_cell_angle_beta 90.00
_cell_angle_gamma 90.00
loop_
_atom_site_label
_atom_site_fract_x
_atom_site_fract_y
_atom_site_fract_z
_atom_site_occupancy
Mn1 0.000 0.000 0.000 1
Sb1 0.000 0.250 0.250 1
Te1 0.000 0.000 0.500 1
# Crystal system   orthorhombic
# Theoretical density   6.45 Mg/m³
# Energy relative to the elements, uncorrected   160.1 meV per atom

---

# Mn2SbTe, optimized geometry, DFT GGA-PBE
data_Mn2SbTe
_chemical_formula_sum 'Mn8 Sb4 Te4'
_space_group_name_H-M_alt 'F m -3 m'
_space_group_IT_number 225
_space_group_name_Hall '-F 4 2 3'
_cell_length_a 6.372
_cell_length_b 6.372
_cell_length_c 6.372
_cell_angle_alpha 90.00
_cell_angle_beta 90.00
_cell_angle_gamma 90.00
loop_
_atom_site_label
_atom_site_fract_x
_atom_site_fract_y
_atom_site_fract_z
_atom_site_occupancy
Mn1 0.250 0.250 0.250 1
Sb1 0.000 0.000 0.000 1
Te1 0.000 0.000 0.500 1
# Crystal system   cubic
# Theoretical density   9.22 Mg/m³
# Energy relative to the elements, uncorrected   507.2 meV per atom